Entry 1:
MnS | SCAN | single point on PBEsol structure

Properties
formation energy from raw total energies: -2.2 eV/f.u.
magnetic moment: 5.00 μB per formula unit
density: 3.4 g/cm³
crystal system: hexagonal

Geometry as CIF:
```
data_MnS
_chemical_formula_sum 'Mn2 S2'
_cell_length_a 3.9348
_cell_length_b 3.9348
_cell_length_c 6.3366
_cell_angle_alpha 90.00
_cell_angle_beta 90.00
_cell_angle_gamma 120.00
_space_group_name_H-M_alt 'P 63 m c'
_space_group_IT_number 186
_space_group_name_Hall 'P 6c -2c'
loop_
_atom_site_label
_atom_site_fract_x
_atom_site_fract_y
_atom_site_fract_z
Mn1 0.3333 0.6667 0.0000
S1 0.3333 0.6667 0.6204
```

Entry 2:
SrYMg6 | SCAN | single point on PBEsol structure

Properties
N(E_F): 5.96 states/eV per cell
calculated formation energy: -0.009 eV/atom
magnetic moment: 0.05 μB per formula unit
density: 2.5 g/cm³
crystal system: tetragonal

Geometry as CIF:
```
data_SrYMg6
_chemical_formula_sum 'Sr1 Y1 Mg6'
_cell_length_a 6.745
_cell_length_b 6.745
_cell_length_c 4.728
_cell_angle_alpha 90.00
_cell_angle_beta 90.00
_cell_angle_gamma 90.00
_space_group_name_H-M_alt 'P 4/m m m'
_space_group_IT_number 123
_space_group_name_Hall '-P 4 2'
loop_
_atom_site_label
_atom_site_fract_x
_atom_site_fract_y
_atom_site_fract_z
Sr1 0.000 0.000 0.000
Y1 0.500 0.500 0.000
Mg1 0.000 0.500 0.000
Mg2 0.263 0.263 0.500
```

Entry 3:
TaInPb2 | SCAN | single point on PBEsol structure

Properties
N(E_F): 1.55 states/eV per cell
calculated formation energy: 0.460 eV/atom
magnetic moment: 0.00 μB per formula unit
density: 12.8 g/cm³
crystal system: tetragonal

Geometry as CIF:
```
data_TaInPb2
_chemical_formula_sum 'Ta1 In1 Pb2'
_cell_length_a 3.843
_cell_length_b 3.843
_cell_length_c 6.254
_cell_angle_alpha 90.00
_cell_angle_beta 90.00
_cell_angle_gamma 90.00
_space_group_name_H-M_alt 'P 4/m m m'
_space_group_IT_number 123
_space_group_name_Hall '-P 4 2'
loop_
_atom_site_label
_atom_site_fract_x
_atom_site_fract_y
_atom_site_fract_z
Ta1 0.000 0.000 0.000
In1 0.000 0.000 0.500
Pb1 0.500 0.500 0.238
```

Entry 4:
FeTeN2O | SCAN | single point on PBEsol structure

Properties
N(E_F): 2.45 states/eV per cell
formation energy from raw total energies: 3.2 eV/f.u.
magnetic moment: 0.00 μB per formula unit
density: 6.0 g/cm³
crystal system: tetragonal

Geometry as CIF:
```
data_FeTeN2O
_chemical_formula_sum 'Fe1 Te1 N2 O1'
_cell_length_a 3.421
_cell_length_b 3.421
_cell_length_c 5.418
_cell_angle_alpha 90.00
_cell_angle_beta 90.00
_cell_angle_gamma 90.00
_space_group_name_H-M_alt 'P 4/m m m'
_space_group_IT_number 123
_space_group_name_Hall '-P 4 2'
loop_
_atom_site_label
_atom_site_fract_x
_atom_site_fract_y
_atom_site_fract_z
Fe1 0.000 0.000 0.000
Te1 0.000 0.000 0.500
N1 0.000 0.500 0.000
O1 0.500 0.500 0.500
```

Entry 5:
Cs2PtCl6 | SCAN | single point on PBEsol structure

Properties
N(E_F): 0.00 states/eV per cell
formation energy from raw total energies: -13.2 eV/f.u.
magnetic moment: 0.00 μB per formula unit
density: 4.3 g/cm³
crystal system: cubic

Geometry as CIF:
```
data_Cs2PtCl6
_chemical_formula_sum 'Cs8 Pt4 Cl24'
_cell_length_a 10.171
_cell_length_b 10.171
_cell_length_c 10.171
_cell_angle_alpha 90.00
_cell_angle_beta 90.00
_cell_angle_gamma 90.00
_space_group_name_H-M_alt 'F m -3 m'
_space_group_IT_number 225
_space_group_name_Hall '-F 4 2 3'
loop_
_atom_site_label
_atom_site_fract_x
_atom_site_fract_y
_atom_site_fract_z
Cs1 0.250 0.250 0.250
Pt1 0.000 0.000 0.000
Cl1 0.000 0.000 0.228
```

Entry 6:
Te2SNF | SCAN | single point on PBEsol structure

Properties
N(E_F): 3.63 states/eV per cell
formation energy from raw total energies: 3.3 eV/f.u.
magnetic moment: 0.00 μB per formula unit
density: 5.7 g/cm³
crystal system: tetragonal

Geometry as CIF:
```
data_Te2SNF
_chemical_formula_sum 'Te2 S1 N1 F1'
_cell_length_a 5.347
_cell_length_b 5.347
_cell_length_c 3.262
_cell_angle_alpha 90.00
_cell_angle_beta 90.00
_cell_angle_gamma 90.00
_space_group_name_H-M_alt 'P 4/m m m'
_space_group_IT_number 123
_space_group_name_Hall '-P 4 2'
loop_
_atom_site_label
_atom_site_fract_x
_atom_site_fract_y
_atom_site_fract_z
Te1 0.000 0.500 0.000
S1 0.000 0.000 0.000
N1 0.000 0.000 0.500
F1 0.500 0.500 0.500
```

Entry 7:
YHOs3 | SCAN | single point on PBEsol structure

Properties
uncorrected energy: -45.6464 eV per atom
N(E_F): 4.74 states/eV per cell
magnetic moment: 3.81 μB per formula unit
density: 9.7 g/cm³
crystal system: cubic

Geometry as CIF:
```
data_YHOs3
_chemical_formula_sum 'Y1 H1 Os3'
_cell_length_a 4.840
_cell_length_b 4.840
_cell_length_c 4.840
_cell_angle_alpha 90.00
_cell_angle_beta 90.00
_cell_angle_gamma 90.00
_space_group_name_H-M_alt 'P m -3 m'
_space_group_IT_number 221
_space_group_name_Hall '-P 4 2 3'
loop_
_atom_site_label
_atom_site_fract_x
_atom_site_fract_y
_atom_site_fract_z
Y1 0.000 0.000 0.000
H1 0.500 0.500 0.500
Os1 0.000 0.000 0.500
```

Entry 8:
Rb3C | SCAN | single point on PBEsol structure

Properties
N(E_F): 3.92 states/eV per cell
energy relative to the lowest polymorph listed for this composition: 46.5 meV/atom
calculated formation energy: 1.041 eV/atom
magnetic moment: 1.85 μB per formula unit
density: 1.9 g/cm³
crystal system: hexagonal

Geometry as CIF:
```
data_Rb3C
_chemical_formula_sum 'Rb6 C2'
_cell_length_a 11.2630
_cell_length_b 11.2630
_cell_length_c 4.2091
_cell_angle_alpha 90.00
_cell_angle_beta 90.00
_cell_angle_gamma 120.00
_space_group_name_H-M_alt 'P 63/m m c'
_space_group_IT_number 194
_space_group_name_Hall '-P 6c 2c'
loop_
_atom_site_label
_atom_site_fract_x
_atom_site_fract_y
_atom_site_fract_z
Rb1 0.2204 0.4407 0.2500
C1 0.3333 0.6667 0.7500
```

Entry 9:
Tc2SbTe | SCAN | single point on PBEsol structure

Properties
N(E_F): 11.56 states/eV per cell
energy relative to the lowest polymorph listed for this composition: 680.7 meV/atom
formation energy from raw total energies: 3.7 eV/f.u.
magnetic moment: 3.18 μB per formula unit
density: 10.1 g/cm³
crystal system: cubic

Geometry as CIF:
```
data_Tc2SbTe
_chemical_formula_sum 'Tc8 Sb4 Te4'
_cell_length_a 6.634
_cell_length_b 6.634
_cell_length_c 6.634
_cell_angle_alpha 90.00
_cell_angle_beta 90.00
_cell_angle_gamma 90.00
_space_group_name_H-M_alt 'F -4 3 m'
_space_group_IT_number 216
_space_group_name_Hall 'F -4 2 3'
loop_
_atom_site_label
_atom_site_fract_x
_atom_site_fract_y
_atom_site_fract_z
Tc1 0.000 0.000 0.000
Tc2 0.250 0.250 0.250
Sb1 0.250 0.250 0.750
Te1 0.000 0.000 0.500
```

Entry 10:
LaYRu2 | SCAN | single point on PBEsol structure

Properties
N(E_F): 2.77 states/eV per cell
calculated formation energy: 0.132 eV/atom
magnetic moment: 0.00 μB per formula unit
density: 8.6 g/cm³
crystal system: monoclinic

Geometry as CIF:
```
data_LaYRu2
_chemical_formula_sum 'La1 Y1 Ru2'
_cell_length_a 4.622
_cell_length_b 3.371
_cell_length_c 5.657
_cell_angle_alpha 90.00
_cell_angle_beta 110.46
_cell_angle_gamma 90.00
_space_group_name_H-M_alt 'P 1 2/m 1'
_space_group_IT_number 10
loop_
_space_group_symop_operation_xyz
'x,y,z'
'-x,-y,-z'
'-x,y,-z'
'x,-y,z'
loop_
_atom_site_label
_atom_site_fract_x
_atom_site_fract_y
_atom_site_fract_z
La1 0.000 0.000 0.000
Y1 0.500 0.500 0.500
Ru1 0.000 0.000 0.500
Ru2 0.500 0.500 0.000
```

Entry 11:
CoMo2Cl | SCAN | single point on PBEsol structure

Properties
N(E_F): 4.43 states/eV per cell
energy relative to the lowest polymorph listed for this composition: 115.2 meV/atom
formation energy from raw total energies: 1.7 eV/f.u.
magnetic moment: 1.30 μB per formula unit
density: 8.3 g/cm³
crystal system: orthorhombic

Geometry as CIF:
```
data_CoMo2Cl
_chemical_formula_sum 'Co2 Mo4 Cl2'
_cell_length_a 3.247
_cell_length_b 4.509
_cell_length_c 7.813
_cell_angle_alpha 90.00
_cell_angle_beta 90.00
_cell_angle_gamma 90.00
_space_group_name_H-M_alt 'C m m 2'
_space_group_IT_number 35
loop_
_space_group_symop_operation_xyz
'x,y,z'
'-x,-y,z'
'-x,y,z'
'x,-y,z'
'x+1/2,y+1/2,z'
'-x+1/2,-y+1/2,z'
'-x+1/2,y+1/2,z'
'x+1/2,-y+1/2,z'
loop_
_atom_site_label
_atom_site_fract_x
_atom_site_fract_y
_atom_site_fract_z
Co1 0.000 0.000 0.000
Mo1 0.000 0.000 0.507
Mo2 0.000 0.500 0.777
Cl1 0.000 0.500 0.243
```

Entry 12:
Zn2CdAu | SCAN | single point on PBEsol structure

Properties
N(E_F): 0.92 states/eV per cell
energy relative to the lowest polymorph listed for this composition: 0.0 meV/atom
calculated formation energy: -0.101 eV/atom
magnetic moment: 0.00 μB per formula unit
density: 11.3 g/cm³
crystal system: triclinic

Geometry as CIF:
```
data_Zn2CdAu
_chemical_formula_sum 'Zn2 Cd1 Au1'
_cell_length_a 3.981
_cell_length_b 4.039
_cell_length_c 4.883
_cell_angle_alpha 111.67
_cell_angle_beta 114.00
_cell_angle_gamma 93.06
_space_group_name_H-M_alt 'P 1'
_space_group_IT_number 1
loop_
_space_group_symop_operation_xyz
'x,y,z'
loop_
_atom_site_label
_atom_site_fract_x
_atom_site_fract_y
_atom_site_fract_z
Zn1 0.000 0.000 0.000
Zn2 0.251 0.750 0.503
Cd1 0.501 0.501 0.000
Au1 0.745 0.243 0.498
```

Entry 13:
Li2NiSnO4 | SCAN | single point on PBEsol structure

Properties
formation energy from raw total energies: -14.8 eV/f.u.
magnetic moment: 2.00 μB per formula unit
density: 5.6 g/cm³
crystal system: tetragonal

Geometry as CIF:
```
data_Li2NiSnO4
_chemical_formula_sum 'Li4 Ni2 Sn2 O8'
_cell_length_a 4.175
_cell_length_b 4.175
_cell_length_c 8.695
_cell_angle_alpha 90.00
_cell_angle_beta 90.00
_cell_angle_gamma 90.00
_space_group_name_H-M_alt 'I -4 m 2'
_space_group_IT_number 119
_space_group_name_Hall 'I -4 -2'
loop_
_atom_site_label
_atom_site_fract_x
_atom_site_fract_y
_atom_site_fract_z
Li1 0.000 0.000 0.000
Li2 0.000 0.500 0.250
Ni1 0.000 0.500 0.750
Sn1 0.000 0.000 0.500
O1 0.000 0.000 0.267
O2 0.000 0.500 0.511
```

Entry 14:
BiPSeS2 | SCAN | single point on PBEsol structure

Properties
N(E_F): 2.68 states/eV per cell
formation energy from raw total energies: 3.2 eV/f.u.
magnetic moment: 0.00 μB per formula unit
density: 6.0 g/cm³
crystal system: tetragonal

Geometry as CIF:
```
data_BiPSeS2
_chemical_formula_sum 'Bi1 P1 Se1 S2'
_cell_length_a 4.723
_cell_length_b 4.723
_cell_length_c 4.763
_cell_angle_alpha 90.00
_cell_angle_beta 90.00
_cell_angle_gamma 90.00
_space_group_name_H-M_alt 'P 4/m m m'
_space_group_IT_number 123
_space_group_name_Hall '-P 4 2'
loop_
_atom_site_label
_atom_site_fract_x
_atom_site_fract_y
_atom_site_fract_z
Bi1 0.000 0.000 0.000
P1 0.500 0.500 0.000
Se1 0.500 0.500 0.500
S1 0.000 0.500 0.500
```

Entry 15:
LiSnB | SCAN | single point on PBEsol structure

Properties
N(E_F): 0.09 states/eV per cell
calculated formation energy: 0.081 eV/atom
magnetic moment: 0.00 μB per formula unit
density: 5.4 g/cm³
crystal system: cubic

Geometry as CIF:
```
data_LiSnB
_chemical_formula_sum 'Li4 Sn4 B4'
_cell_length_a 5.513
_cell_length_b 5.513
_cell_length_c 5.513
_cell_angle_alpha 90.00
_cell_angle_beta 90.00
_cell_angle_gamma 90.00
_space_group_name_H-M_alt 'F -4 3 m'
_space_group_IT_number 216
_space_group_name_Hall 'F -4 2 3'
loop_
_atom_site_label
_atom_site_fract_x
_atom_site_fract_y
_atom_site_fract_z
Li1 0.000 0.000 0.000
Sn1 0.000 0.000 0.500
B1 0.250 0.250 0.250
```

Entry 16:
Tl2WBr | SCAN | single point on PBEsol structure

Properties
N(E_F): 1.92 states/eV per cell
energy relative to the lowest polymorph listed for this composition: 116.3 meV/atom
formation energy from raw total energies: 3.0 eV/f.u.
magnetic moment: 1.13 μB per formula unit
density: 12.8 g/cm³
crystal system: orthorhombic

Geometry as CIF:
```
data_Tl2WBr
_chemical_formula_sum 'Tl4 W2 Br2'
_cell_length_a 7.557
_cell_length_b 7.574
_cell_length_c 3.050
_cell_angle_alpha 90.00
_cell_angle_beta 90.00
_cell_angle_gamma 90.00
_space_group_name_H-M_alt 'C m m m'
_space_group_IT_number 65
_space_group_name_Hall '-C 2 2'
loop_
_atom_site_label
_atom_site_fract_x
_atom_site_fract_y
_atom_site_fract_z
Tl1 0.250 0.250 0.000
W1 0.000 0.000 0.500
Br1 0.000 0.500 0.500
```

Entry 17:
HoBi | SCAN | single point on PBEsol structure

Properties
N(E_F): 1.17 states/eV per cell
calculated formation energy: -0.969 eV/atom
magnetic moment: 0.00 μB per formula unit
density: 10.4 g/cm³
crystal system: cubic

Geometry as CIF:
```
data_HoBi
_chemical_formula_sum 'Ho4 Bi4'
_cell_length_a 6.199
_cell_length_b 6.199
_cell_length_c 6.199
_cell_angle_alpha 90.00
_cell_angle_beta 90.00
_cell_angle_gamma 90.00
_space_group_name_H-M_alt 'F m -3 m'
_space_group_IT_number 225
_space_group_name_Hall '-F 4 2 3'
loop_
_atom_site_label
_atom_site_fract_x
_atom_site_fract_y
_atom_site_fract_z
Ho1 0.000 0.000 0.000
Bi1 0.000 0.000 0.500
```

Entry 18:
HRh2W | SCAN | single point on PBEsol structure

Properties
uncorrected energy: -34.6963 eV per atom
N(E_F): 11.18 states/eV per cell
magnetic moment: 0.00 μB per formula unit
density: 12.9 g/cm³
crystal system: cubic

Geometry as CIF:
```
data_HRh2W
_chemical_formula_sum 'H4 Rh8 W4'
_cell_length_a 5.857
_cell_length_b 5.857
_cell_length_c 5.857
_cell_angle_alpha 90.00
_cell_angle_beta 90.00
_cell_angle_gamma 90.00
_space_group_name_H-M_alt 'F m -3 m'
_space_group_IT_number 225
_space_group_name_Hall '-F 4 2 3'
loop_
_atom_site_label
_atom_site_fract_x
_atom_site_fract_y
_atom_site_fract_z
H1 0.000 0.000 0.000
Rh1 0.250 0.250 0.250
W1 0.000 0.000 0.500
```

Entry 19:
MgBiSe2 | SCAN | single point on PBEsol structure

Properties
N(E_F): 5.53 states/eV per cell
formation energy from raw total energies: -1.0 eV/f.u.
magnetic moment: 0.00 μB per formula unit
density: 5.0 g/cm³
crystal system: trigonal

Geometry as CIF:
```
data_MgBiSe2
_chemical_formula_sum 'Mg3 Bi3 Se6'
_cell_length_a 4.2353
_cell_length_b 4.2353
_cell_length_c 24.9236
_cell_angle_alpha 90.00
_cell_angle_beta 90.00
_cell_angle_gamma 120.00
_space_group_name_H-M_alt 'R -3 m'
_space_group_IT_number 166
_space_group_name_Hall '-R 3 2"'
loop_
_atom_site_label
_atom_site_fract_x
_atom_site_fract_y
_atom_site_fract_z
Mg1 0.0000 0.0000 0.0000
Bi1 0.0000 0.0000 0.5000
Se1 0.0000 0.0000 0.1018
```

Entry 20:
Mg2SbSe | SCAN | single point on PBEsol structure

Properties
N(E_F): 2.76 states/eV per cell
energy relative to the lowest polymorph listed for this composition: 446.9 meV/atom
formation energy from raw total energies: -1.4 eV/f.u.
magnetic moment: 0.00 μB per formula unit
density: 4.7 g/cm³
crystal system: orthorhombic

Geometry as CIF:
```
data_Mg2SbSe
_chemical_formula_sum 'Mg4 Sb2 Se2'
_cell_length_a 6.749
_cell_length_b 7.486
_cell_length_c 3.456
_cell_angle_alpha 90.00
_cell_angle_beta 90.00
_cell_angle_gamma 90.00
_space_group_name_H-M_alt 'C m m m'
_space_group_IT_number 65
_space_group_name_Hall '-C 2 2'
loop_
_atom_site_label
_atom_site_fract_x
_atom_site_fract_y
_atom_site_fract_z
Mg1 0.250 0.250 0.000
Sb1 0.000 0.000 0.500
Se1 0.000 0.500 0.500
```